Computed, not measured: Er8Tc2Pd after structural relaxation at the GGA-PBE level of DFT.

Results
DFT formation energy   -0.19 eV per atom
Total moment   0.00 μB/cell
Polymorph energy (0 for the lowest one)   47 meV/atom
Raw total energy   -5.8627 eV/atom
Space-group type   No. 8

Unit cell a=7.589 b=7.589 c=5.740 alpha=100.52 beta=100.52 gamma=112.76
Element x y z (fractional)
Er (0.000, 0.000, 0.000)
Er (0.029, 0.292, 0.599)
Er (0.149, 0.586, 0.196)
Er (0.292, 0.029, 0.599)
Er (0.444, 0.705, 0.793)
Er (0.586, 0.149, 0.196)
Er (0.705, 0.444, 0.793)
Er (0.742, 0.742, 0.392)
Tc (0.058, 0.678, 0.698)
Tc (0.678, 0.058, 0.698)
Pd (0.373, 0.373, 0.085)

Computed, not measured: CuP2PdF after structural relaxation at the GGA-PBE level of DFT.

Results
Formation energy from raw total energies   432 meV/atom
Total moment   0.00 μB/cell
Raw total energy   -3.9639 eV/atom
Space-group type   No. 123

Unit cell a=4.411 b=4.411 c=3.867 alpha=90.00 beta=90.00 gamma=90.00
Element x y z (fractional)
Cu (0.000, 0.000, 0.000)
P (0.000, 0.500, 0.500)
P (0.500, 0.000, 0.500)
Pd (0.500, 0.500, 0.000)
F (0.000, 0.000, 0.500)

Computed, not measured: KLaCdO3 after structural relaxation at the GGA-PBE level of DFT.

Results
Formation energy from raw total energies   -2072 meV/atom
Total moment   0.00 μB/cell
Raw total energy   -5.7074 eV/atom
Space-group type   No. 11

Unit cell a=6.341 b=3.658 c=8.595 alpha=90.00 beta=91.88 gamma=90.00
Element x y z (fractional)
K (0.078, 0.250, 0.168)
K (0.922, 0.750, 0.832)
La (0.421, 0.250, 0.814)
La (0.579, 0.750, 0.186)
Cd (0.233, 0.750, 0.496)
Cd (0.767, 0.250, 0.504)
O (0.102, 0.250, 0.644)
O (0.308, 0.750, 0.977)
O (0.432, 0.250, 0.343)
O (0.568, 0.750, 0.657)
O (0.692, 0.250, 0.023)
O (0.898, 0.750, 0.356)

Computed, not measured: MgCdPd after structural relaxation at the GGA-PBE level of DFT.

Results
DFT formation energy   -0.46 eV per atom
Total moment   0.00 μB/cell
Polymorph energy (0 for the lowest one)   0 meV/atom
Raw total energy   -3.0265 eV/atom
Space-group type   No. 194

Unit cell a=4.664 b=4.664 c=5.717 alpha=90.00 beta=90.00 gamma=120.00
Element x y z (fractional)
Mg (0.333, 0.667, 0.250)
Mg (0.667, 0.333, 0.750)
Cd (0.000, 0.000, 0.000)
Cd (0.000, 0.000, 0.500)
Pd (0.333, 0.667, 0.750)
Pd (0.667, 0.333, 0.250)

Computed, not measured: Sr4GaN after structural relaxation at the GGA-PBE level of DFT.

Results
Formation energy from raw total energies   -202 meV/atom
Total moment   0.87 μB/cell
Raw total energy   -3.2150 eV/atom
Space-group type   No. 12

Unit cell a=9.005 b=9.005 c=9.942 alpha=100.55 beta=100.55 gamma=36.34
Element x y z (fractional)
Sr (0.056, 0.056, 0.371)
Sr (0.156, 0.156, 0.917)
Sr (0.244, 0.244, 0.632)
Sr (0.403, 0.403, 0.338)
Sr (0.597, 0.597, 0.662)
Sr (0.756, 0.756, 0.368)
Sr (0.844, 0.844, 0.083)
Sr (0.944, 0.944, 0.629)
Ga (0.220, 0.220, 0.236)
Ga (0.780, 0.780, 0.764)
N (0.094, 0.094, 0.659)
N (0.906, 0.906, 0.341)

Computed, not measured: CaLaAl2Si after structural relaxation at the GGA-PBE level of DFT.

Results
Formation energy from raw total energies   1385 meV/atom
Total moment   0.00 μB/cell
Raw total energy   -2.5827 eV/atom
Space-group type   No. 123

Unit cell a=5.559 b=5.559 c=5.976 alpha=90.00 beta=90.00 gamma=90.00
Element x y z (fractional)
Ca (0.000, 0.000, 0.000)
La (0.000, 0.000, 0.500)
Al (0.000, 0.500, 0.500)
Al (0.500, 0.000, 0.500)
Si (0.500, 0.500, 0.000)

Computed, not measured: MgZnN after structural relaxation at the GGA-PBE level of DFT.

Results
Formation energy from raw total energies   -67 meV/atom
Total moment   0.00 μB/cell
Raw total energy   -3.7982 eV/atom
Space-group type   No. 12

Unit cell a=8.909 b=8.909 c=6.369 alpha=95.58 beta=95.58 gamma=22.44
Element x y z (fractional)
Mg (0.051, 0.051, 0.276)
Mg (0.404, 0.404, 0.084)
Mg (0.596, 0.596, 0.916)
Mg (0.949, 0.949, 0.724)
Zn (0.266, 0.266, 0.830)
Zn (0.341, 0.341, 0.469)
Zn (0.659, 0.659, 0.531)
Zn (0.734, 0.734, 0.170)
N (0.295, 0.295, 0.191)
N (0.381, 0.381, 0.753)
N (0.619, 0.619, 0.247)
N (0.705, 0.705, 0.809)

Computed, not measured: KZrSbTe2 after structural relaxation at the GGA-PBE level of DFT.

Results
Formation energy from raw total energies   1188 meV/atom
Total moment   0.02 μB/cell
Polymorph energy (0 for the lowest one)   1693 meV/atom
Raw total energy   -2.8219 eV/atom
Space-group type   No. 123

Unit cell a=5.745 b=5.745 c=5.487 alpha=90.00 beta=90.00 gamma=90.00
Element x y z (fractional)
K (0.000, 0.000, 0.000)
Zr (0.500, 0.500, 0.500)
Sb (0.000, 0.000, 0.500)
Te (0.000, 0.500, 0.000)
Te (0.500, 0.000, 0.000)

Computed, not measured: ThTlSn2 after structural relaxation at the GGA-PBE level of DFT.

Results
DFT formation energy   -0.36 eV per atom
Total moment   0.00 μB/cell
Polymorph energy (0 for the lowest one)   0 meV/atom
Raw total energy   -4.8073 eV/atom
Space-group type   No. 123

Unit cell a=4.852 b=4.852 c=4.653 alpha=90.00 beta=90.00 gamma=90.00
Element x y z (fractional)
Th (0.000, 0.000, 0.000)
Tl (0.500, 0.500, 0.000)
Sn (0.000, 0.500, 0.500)
Sn (0.500, 0.000, 0.500)

Computed, not measured: SrAlOs2 after structural relaxation at the GGA-PBE level of DFT.

Results
DFT formation energy   0.83 eV per atom
Total moment   0.00 μB/cell
Raw total energy   -6.1418 eV/atom
Space-group type   No. 65

Unit cell a=5.321 b=5.321 c=2.687 alpha=90.00 beta=90.00 gamma=108.98
Element x y z (fractional)
Sr (0.000, 0.000, 0.000)
Al (0.500, 0.500, 0.000)
Os (0.000, 0.500, 0.500)
Os (0.500, 0.000, 0.500)

Computed, not measured: PrHo3Th2 after structural relaxation at the GGA-PBE level of DFT.

Results
DFT formation energy   0.03 eV per atom
Total moment   0.00 μB/cell
Polymorph energy (0 for the lowest one)   0 meV/atom
Raw total energy   -5.5287 eV/atom
Space-group type   No. 63

Unit cell a=9.479 b=9.479 c=11.586 alpha=90.00 beta=90.00 gamma=158.04
Element x y z (fractional)
Pr (0.221, 0.779, 0.750)
Pr (0.779, 0.221, 0.250)
Ho (0.106, 0.894, 0.250)
Ho (0.336, 0.664, 0.505)
Ho (0.336, 0.664, 0.995)
Ho (0.664, 0.336, 0.005)
Ho (0.664, 0.336, 0.495)
Ho (0.894, 0.106, 0.750)
Th (0.000, 0.000, 0.000)
Th (0.000, 0.000, 0.500)
Th (0.445, 0.555, 0.250)
Th (0.555, 0.445, 0.750)

Computed, not measured: TeMoP after structural relaxation at the GGA-PBE level of DFT.

Results
Formation energy from raw total energies   -62 meV/atom
Total moment   0.00 μB/cell
Polymorph energy (0 for the lowest one)   89 meV/atom
Raw total energy   -6.5234 eV/atom
Space-group type   No. 156

Unit cell a=3.391 b=3.391 c=6.004 alpha=90.00 beta=90.00 gamma=120.00
Element x y z (fractional)
Te (0.000, 0.000, 0.000)
Mo (0.667, 0.333, 0.328)
P (0.333, 0.667, 0.570)

no.,DOS at the Fermi energy (states/eV/cell)
1,8.5
2,1.8
3,0.0
4,2.5
5,8.6
6,5.2
7,0.8
8,8.5
9,2.1
10,3.5
11,17.7
12,2.1